Below is MgOsSe4 after structural relaxation, with properties calculated at the PBE-GGA level.

Geometry as CIF:
```
data_MgOsSe4
_chemical_formula_sum 'Mg4 Os4 Se16'
_cell_length_a 7.9363
_cell_length_b 7.9363
_cell_length_c 7.9363
_cell_angle_alpha 90.00
_cell_angle_beta 90.00
_cell_angle_gamma 90.00
_space_group_name_H-M_alt 'F -4 3 m'
_space_group_IT_number 216
_space_group_name_Hall 'F -4 2 3'
loop_
_atom_site_label
_atom_site_type_symbol
_atom_site_fract_x
_atom_site_fract_y
_atom_site_fract_z
Mg1 Mg 0.0000 0.0000 0.0000
Os1 Os 0.2500 0.2500 0.7500
Se1 Se 0.1238 0.1238 0.3762
```

D(E_F)   23.86 states/eV per cell
E   -0.12381 hartree per atom
Energy relative to the elements, uncorrected   1.09 eV/atom



Below is MgOsSe after structural relaxation, with properties calculated at the PBE-GGA level.

Geometry as CIF:
```
data_MgOsSe
_chemical_formula_sum 'Mg2 Os2 Se2'
_cell_length_a 3.0556
_cell_length_b 3.0556
_cell_length_c 11.3505
_cell_angle_alpha 90.00
_cell_angle_beta 90.00
_cell_angle_gamma 90.00
_space_group_name_H-M_alt 'I 4 m m'
_space_group_IT_number 107
_space_group_name_Hall 'I 4 -2'
loop_
_atom_site_label
_atom_site_type_symbol
_atom_site_fract_x
_atom_site_fract_y
_atom_site_fract_z
Mg1 Mg 0.0000 0.0000 0.0000
Os1 Os 0.0000 0.0000 0.6618
Se1 Se 0.0000 0.0000 0.2834
```

Relative energy among the computed polymorphs   0.165 eV per atom
D(E_F)   2.54 states/eV per cell
E   -0.19582 hartree per atom
Energy relative to the elements, uncorrected   0.11 eV/atom



Below is MgOsSe after structural relaxation, with properties calculated at the PBE-GGA level.

Geometry as CIF:
```
data_MgOsSe
_chemical_formula_sum 'Mg4 Os4 Se4'
_cell_length_a 3.0468
_cell_length_b 5.3511
_cell_length_c 13.0672
_cell_angle_alpha 90.00
_cell_angle_beta 90.00
_cell_angle_gamma 90.00
_space_group_name_H-M_alt 'F m m 2'
_space_group_IT_number 42
_space_group_name_Hall 'F 2 -2'
loop_
_atom_site_label
_atom_site_type_symbol
_atom_site_fract_x
_atom_site_fract_y
_atom_site_fract_z
Mg1 Mg 0.0000 0.0000 0.0000
Os1 Os 0.0000 0.0000 0.3317
Se1 Se 0.0000 0.0000 0.6849
```

Relative energy among the computed polymorphs   0.519 eV per atom
D(E_F)   10.92 states/eV per cell
E   -0.18282 hartree per atom
Energy relative to the elements, uncorrected   0.46 eV/atom



Below is MgOsSe after structural relaxation, with properties calculated at the PBE-GGA level.

Geometry as CIF:
```
data_MgOsSe
_chemical_formula_sum 'Mg1 Os1 Se1'
_cell_length_a 4.2787
_cell_length_b 4.2787
_cell_length_c 3.2092
_cell_angle_alpha 90.00
_cell_angle_beta 90.00
_cell_angle_gamma 120.00
_space_group_name_H-M_alt 'P -6 m 2'
_space_group_IT_number 187
_space_group_name_Hall 'P -6 2'
loop_
_atom_site_label
_atom_site_type_symbol
_atom_site_fract_x
_atom_site_fract_y
_atom_site_fract_z
Mg1 Mg 0.0000 0.0000 0.0000
Os1 Os 0.6667 0.3333 0.5000
Se1 Se 0.3333 0.6667 0.5000
```

Relative energy among the computed polymorphs   0.247 eV per atom
D(E_F)   3.01 states/eV per cell
E   -0.19282 hartree per atom
Energy relative to the elements, uncorrected   0.19 eV/atom



Below is MgOsSe after structural relaxation, with properties calculated at the PBE-GGA level.

Geometry as CIF:
```
data_MgOsSe
_chemical_formula_sum 'Mg4 Os4 Se4'
_cell_length_a 6.0836
_cell_length_b 6.0836
_cell_length_c 6.0836
_cell_angle_alpha 90.00
_cell_angle_beta 90.00
_cell_angle_gamma 90.00
_space_group_name_H-M_alt 'F -4 3 m'
_space_group_IT_number 216
_space_group_name_Hall 'F -4 2 3'
loop_
_atom_site_label
_atom_site_type_symbol
_atom_site_fract_x
_atom_site_fract_y
_atom_site_fract_z
Mg1 Mg 0.0000 0.0000 0.0000
Os1 Os 0.2500 0.2500 0.2500
Se1 Se 0.0000 0.0000 0.5000
```

Relative energy among the computed polymorphs   0.512 eV per atom
D(E_F)   15.56 states/eV per cell
E   -0.18308 hartree per atom
Energy relative to the elements, uncorrected   0.45 eV/atom



Below is MgOsSe after structural relaxation, with properties calculated at the PBE-GGA level.

Geometry as CIF:
```
data_MgOsSe
_chemical_formula_sum 'Mg4 Os4 Se4'
_cell_length_a 6.1975
_cell_length_b 5.3329
_cell_length_c 7.6749
_cell_angle_alpha 90.00
_cell_angle_beta 115.97
_cell_angle_gamma 90.00
_space_group_name_H-M_alt 'P 1 21/c 1'
_space_group_IT_number 14
_space_group_name_Hall '-P 2ybc'
loop_
_atom_site_label
_atom_site_type_symbol
_atom_site_fract_x
_atom_site_fract_y
_atom_site_fract_z
Mg1 Mg 0.1085 0.0821 0.3685
Os1 Os 0.1988 0.5767 0.5426
Se1 Se 0.4325 0.7099 0.3572
```

Relative energy among the computed polymorphs   0.000 eV per atom
D(E_F)   5.13 states/eV per cell
E   -0.20188 hartree per atom
Energy relative to the elements, uncorrected   -0.06 eV/atom



Below is Mg2OsSe after structural relaxation, with properties calculated at the PBE-GGA level.

Geometry as CIF:
```
data_Mg2OsSe
_chemical_formula_sum 'Mg2 Os1 Se1'
_cell_length_a 3.4180
_cell_length_b 3.4180
_cell_length_c 5.7788
_cell_angle_alpha 90.00
_cell_angle_beta 90.00
_cell_angle_gamma 90.00
_space_group_name_H-M_alt 'P 4/m m m'
_space_group_IT_number 123
_space_group_name_Hall '-P 4 2'
loop_
_atom_site_label
_atom_site_type_symbol
_atom_site_fract_x
_atom_site_fract_y
_atom_site_fract_z
Mg1 Mg 0.0000 0.0000 0.2342
Os1 Os 0.5000 0.5000 0.0000
Se1 Se 0.5000 0.5000 0.5000
```

D(E_F)   2.29 states/eV per cell
E   -0.16631 hartree per atom
Energy relative to the elements, uncorrected   -0.05 eV/atom



Below is Mg2OsSe after structural relaxation, with properties calculated at the PBE-GGA level.

Geometry as CIF:
```
data_Mg2OsSe
_chemical_formula_sum 'Mg4 Os2 Se2'
_cell_length_a 4.0230
_cell_length_b 4.0230
_cell_length_c 8.4205
_cell_angle_alpha 90.00
_cell_angle_beta 90.00
_cell_angle_gamma 90.00
_space_group_name_H-M_alt 'I -4 m 2'
_space_group_IT_number 119
_space_group_name_Hall 'I -4 -2'
loop_
_atom_site_label
_atom_site_type_symbol
_atom_site_fract_x
_atom_site_fract_y
_atom_site_fract_z
Mg1 Mg 0.0000 0.0000 0.0000
Mg2 Mg 0.0000 0.5000 0.2500
Os1 Os 0.0000 0.5000 0.7500
Se1 Se 0.0000 0.0000 0.5000
```

D(E_F)   5.58 states/eV per cell
E   -0.15680 hartree per atom
Energy relative to the elements, uncorrected   0.21 eV/atom



Below is Mg2OsSe after structural relaxation, with properties calculated at the PBE-GGA level.

Geometry as CIF:
```
data_Mg2OsSe
_chemical_formula_sum 'Mg4 Os2 Se2'
_cell_length_a 10.4555
_cell_length_b 3.0611
_cell_length_c 4.7637
_cell_angle_alpha 90.00
_cell_angle_beta 105.48
_cell_angle_gamma 90.00
_space_group_name_H-M_alt 'C 1 m 1'
_space_group_IT_number 8
_space_group_name_Hall 'C -2y'
loop_
_atom_site_label
_atom_site_type_symbol
_atom_site_fract_x
_atom_site_fract_y
_atom_site_fract_z
Mg1 Mg 0.0000 0.0000 0.0000
Mg2 Mg 0.1961 0.0000 0.6398
Os1 Os 0.2380 0.5000 0.1419
Se1 Se 0.4110 0.0000 0.4228
```

D(E_F)   2.58 states/eV per cell
E   -0.16810 hartree per atom
Energy relative to the elements, uncorrected   -0.10 eV/atom



Below is MgOsSe3 after structural relaxation, with properties calculated at the PBE-GGA level.

Geometry as CIF:
```
data_MgOsSe3
_chemical_formula_sum 'Mg1 Os1 Se3'
_cell_length_a 4.9397
_cell_length_b 4.9397
_cell_length_c 4.9397
_cell_angle_alpha 90.00
_cell_angle_beta 90.00
_cell_angle_gamma 90.00
_space_group_name_H-M_alt 'P m -3 m'
_space_group_IT_number 221
_space_group_name_Hall '-P 4 2 3'
loop_
_atom_site_label
_atom_site_type_symbol
_atom_site_fract_x
_atom_site_fract_y
_atom_site_fract_z
Mg1 Mg 0.0000 0.0000 0.0000
Os1 Os 0.5000 0.5000 0.5000
Se1 Se 0.0000 0.5000 0.5000
```

Relative energy among the computed polymorphs   0.000 eV per atom
D(E_F)   7.13 states/eV per cell
E   -0.15699 hartree per atom
Energy relative to the elements, uncorrected   0.38 eV/atom



Below is Mg2OsSe after structural relaxation, with properties calculated at the PBE-GGA level.

Geometry as CIF:
```
data_Mg2OsSe
_chemical_formula_sum 'Mg2 Os1 Se1'
_cell_length_a 3.0087
_cell_length_b 3.0087
_cell_length_c 7.8802
_cell_angle_alpha 90.00
_cell_angle_beta 90.00
_cell_angle_gamma 90.00
_space_group_name_H-M_alt 'P 4/m m m'
_space_group_IT_number 123
_space_group_name_Hall '-P 4 2'
loop_
_atom_site_label
_atom_site_type_symbol
_atom_site_fract_x
_atom_site_fract_y
_atom_site_fract_z
Mg1 Mg 0.0000 0.0000 0.2244
Os1 Os 0.5000 0.5000 0.0000
Se1 Se 0.5000 0.5000 0.5000
```

D(E_F)   3.39 states/eV per cell
E   -0.16316 hartree per atom
Energy relative to the elements, uncorrected   0.04 eV/atom



Below is Mg2OsSe after structural relaxation, with properties calculated at the PBE-GGA level.

Geometry as CIF:
```
data_Mg2OsSe
_chemical_formula_sum 'Mg2 Os1 Se1'
_cell_length_a 3.0655
_cell_length_b 3.0655
_cell_length_c 8.0457
_cell_angle_alpha 90.00
_cell_angle_beta 90.00
_cell_angle_gamma 90.00
_space_group_name_H-M_alt 'P 4 m m'
_space_group_IT_number 99
_space_group_name_Hall 'P 4 -2'
loop_
_atom_site_label
_atom_site_type_symbol
_atom_site_fract_x
_atom_site_fract_y
_atom_site_fract_z
Mg1 Mg 0.0000 0.0000 0.0000
Mg2 Mg 0.5000 0.5000 0.2913
Os1 Os 0.0000 0.0000 0.5271
Se1 Se 0.5000 0.5000 0.6951
```

D(E_F)   1.76 states/eV per cell
E   -0.16056 hartree per atom
Energy relative to the elements, uncorrected   0.11 eV/atom



Below is MgOsSe after structural relaxation, with properties calculated at the PBE-GGA level.

Geometry as CIF:
```
data_MgOsSe
_chemical_formula_sum 'Mg1 Os1 Se1'
_cell_length_a 3.1426
_cell_length_b 3.1426
_cell_length_c 6.1767
_cell_angle_alpha 90.00
_cell_angle_beta 90.00
_cell_angle_gamma 120.00
_space_group_name_H-M_alt 'P 3 m 1'
_space_group_IT_number 156
_space_group_name_Hall 'P 3 -2"'
loop_
_atom_site_label
_atom_site_type_symbol
_atom_site_fract_x
_atom_site_fract_y
_atom_site_fract_z
Mg1 Mg 0.0000 0.0000 0.0000
Os1 Os 0.6667 0.3333 0.3382
Se1 Se 0.3333 0.6667 0.6148
```

Relative energy among the computed polymorphs   0.221 eV per atom
D(E_F)   2.14 states/eV per cell
E   -0.19375 hartree per atom
Energy relative to the elements, uncorrected   0.16 eV/atom



Below is Mg2OsSe after structural relaxation, with properties calculated at the PBE-GGA level.

Geometry as CIF:
```
data_Mg2OsSe
_chemical_formula_sum 'Mg4 Os2 Se2'
_cell_length_a 3.0718
_cell_length_b 5.2129
_cell_length_c 9.5242
_cell_angle_alpha 90.00
_cell_angle_beta 90.00
_cell_angle_gamma 90.00
_space_group_name_H-M_alt 'C m m 2'
_space_group_IT_number 35
_space_group_name_Hall 'C 2 -2'
loop_
_atom_site_label
_atom_site_type_symbol
_atom_site_fract_x
_atom_site_fract_y
_atom_site_fract_z
Mg1 Mg 0.0000 0.0000 0.0000
Mg2 Mg 0.0000 0.5000 0.2842
Os1 Os 0.0000 0.0000 0.5184
Se1 Se 0.0000 0.5000 0.7213
```

D(E_F)   8.02 states/eV per cell
E   -0.15041 hartree per atom
Energy relative to the elements, uncorrected   0.38 eV/atom



Below is Mg4OsSe after structural relaxation, with properties calculated at the PBE-GGA level.

Geometry as CIF:
```
data_Mg4OsSe
_chemical_formula_sum 'Mg16 Os4 Se4'
_cell_length_a 7.6579
_cell_length_b 7.6579
_cell_length_c 7.6579
_cell_angle_alpha 90.00
_cell_angle_beta 90.00
_cell_angle_gamma 90.00
_space_group_name_H-M_alt 'F -4 3 m'
_space_group_IT_number 216
_space_group_name_Hall 'F -4 2 3'
loop_
_atom_site_label
_atom_site_type_symbol
_atom_site_fract_x
_atom_site_fract_y
_atom_site_fract_z
Mg1 Mg 0.1243 0.1243 0.1243
Os1 Os 0.2500 0.2500 0.7500
Se1 Se 0.0000 0.0000 0.5000
```

D(E_F)   8.23 states/eV per cell
E   -0.11274 hartree per atom
Energy relative to the elements, uncorrected   0.45 eV/atom



Below is Mg2OsSe after structural relaxation, with properties calculated at the PBE-GGA level.

Geometry as CIF:
```
data_Mg2OsSe
_chemical_formula_sum 'Mg6 Os3 Se3'
_cell_length_a 3.1920
_cell_length_b 3.1920
_cell_length_c 24.0227
_cell_angle_alpha 90.00
_cell_angle_beta 90.00
_cell_angle_gamma 120.00
_space_group_name_H-M_alt 'R -3 m'
_space_group_IT_number 166
_space_group_name_Hall '-R 3 2"'
loop_
_atom_site_label
_atom_site_type_symbol
_atom_site_fract_x
_atom_site_fract_y
_atom_site_fract_z
Mg1 Mg 0.0000 0.0000 0.2499
Os1 Os 0.0000 0.0000 0.0000
Se1 Se 0.0000 0.0000 0.5000
```

D(E_F)   5.33 states/eV per cell
E   -0.16231 hartree per atom
Energy relative to the elements, uncorrected   0.06 eV/atom



Below is Mg2OsSe after structural relaxation, with properties calculated at the PBE-GGA level.

Geometry as CIF:
```
data_Mg2OsSe
_chemical_formula_sum 'Mg4 Os2 Se2'
_cell_length_a 5.7415
_cell_length_b 7.8331
_cell_length_c 3.0105
_cell_angle_alpha 90.00
_cell_angle_beta 90.00
_cell_angle_gamma 90.00
_space_group_name_H-M_alt 'C m m m'
_space_group_IT_number 65
_space_group_name_Hall '-C 2 2'
loop_
_atom_site_label
_atom_site_type_symbol
_atom_site_fract_x
_atom_site_fract_y
_atom_site_fract_z
Mg1 Mg 0.2500 0.2500 0.0000
Os1 Os 0.0000 0.0000 0.5000
Se1 Se 0.0000 0.5000 0.5000
```

D(E_F)   4.30 states/eV per cell
E   -0.16244 hartree per atom
Energy relative to the elements, uncorrected   0.06 eV/atom



Below is Mg2OsSe after structural relaxation, with properties calculated at the PBE-GGA level.

Geometry as CIF:
```
data_Mg2OsSe
_chemical_formula_sum 'Mg4 Os2 Se2'
_cell_length_a 9.7455
_cell_length_b 3.4179
_cell_length_c 4.5637
_cell_angle_alpha 90.00
_cell_angle_beta 117.63
_cell_angle_gamma 90.00
_space_group_name_H-M_alt 'C 1 2/m 1'
_space_group_IT_number 12
_space_group_name_Hall '-C 2y'
loop_
_atom_site_label
_atom_site_type_symbol
_atom_site_fract_x
_atom_site_fract_y
_atom_site_fract_z
Mg1 Mg 0.2479 0.0000 0.2478
Os1 Os 0.0000 0.0000 0.5000
Se1 Se 0.0000 0.5000 0.0000
```

D(E_F)   4.73 states/eV per cell
E   -0.15692 hartree per atom
Energy relative to the elements, uncorrected   0.21 eV/atom



Below is Mg2OsSe after structural relaxation, with properties calculated at the PBE-GGA level.

Geometry as CIF:
```
data_Mg2OsSe
_chemical_formula_sum 'Mg4 Os2 Se2'
_cell_length_a 3.0807
_cell_length_b 4.4454
_cell_length_c 11.3878
_cell_angle_alpha 90.00
_cell_angle_beta 90.00
_cell_angle_gamma 90.00
_space_group_name_H-M_alt 'I m m 2'
_space_group_IT_number 44
_space_group_name_Hall 'I 2 -2'
loop_
_atom_site_label
_atom_site_type_symbol
_atom_site_fract_x
_atom_site_fract_y
_atom_site_fract_z
Mg1 Mg 0.0000 0.0000 0.0000
Mg2 Mg 0.0000 0.5000 0.1775
Os1 Os 0.0000 0.5000 0.7071
Se1 Se 0.0000 0.0000 0.3765
```

D(E_F)   4.53 states/eV per cell
E   -0.16771 hartree per atom
Energy relative to the elements, uncorrected   -0.09 eV/atom



Below is Mg2OsSe after structural relaxation, with properties calculated at the PBE-GGA level.

Geometry as CIF:
```
data_Mg2OsSe
_chemical_formula_sum 'Mg8 Os4 Se4'
_cell_length_a 6.4633
_cell_length_b 6.4633
_cell_length_c 6.4633
_cell_angle_alpha 90.00
_cell_angle_beta 90.00
_cell_angle_gamma 90.00
_space_group_name_H-M_alt 'F -4 3 m'
_space_group_IT_number 216
_space_group_name_Hall 'F -4 2 3'
loop_
_atom_site_label
_atom_site_type_symbol
_atom_site_fract_x
_atom_site_fract_y
_atom_site_fract_z
Mg1 Mg 0.0000 0.0000 0.0000
Mg2 Mg 0.2500 0.2500 0.2500
Os1 Os 0.2500 0.2500 0.7500
Se1 Se 0.0000 0.0000 0.5000
```

D(E_F)   10.24 states/eV per cell
E   -0.15355 hartree per atom
Energy relative to the elements, uncorrected   0.30 eV/atom